Record 1
The following is a DFT calculation (GGA-PBE) of a relaxed structure of Mg6CuPd5.

Cell lengths 4.518, 6.303, 7.783 Å; angles 113.89, 105.58, 90.00 degrees
Positions (direct):
Pd 0.332 0.836 0.671
Pd 0.000 0.500 0.000
Pd 0.333 0.334 0.668
Pd 0.667 0.666 0.332
Pd 0.668 0.164 0.329
Cu 0.000 0.000 0.000
Mg 0.831 0.582 0.665
Mg 0.500 0.749 0.000
Mg 0.169 0.917 0.335
Mg 0.169 0.418 0.335
Mg 0.500 0.251 0.000
Mg 0.831 0.083 0.665

Values from the calculation:
**Energy**: -47.1 eV/f.u.
**Fermi-level density of states**: 4.99 states/eV/f.u.
**Energy of formation from the pure elements**: -60.4 kJ per mole of atoms

***

Record 2
The following is a DFT calculation (GGA-PBE) of a relaxed structure of Mg4CuPd3.

Cell lengths 4.505, 4.505, 7.779 Å; angles 73.17, 73.17, 60.00 degrees
Positions (direct):
Cu 0.000 0.000 0.000
Pd 0.749 0.749 0.754
Pd 0.500 0.500 0.500
Pd 0.251 0.251 0.246
Mg 0.875 0.875 0.376
Mg 0.625 0.625 0.126
Mg 0.125 0.125 0.624
Mg 0.375 0.375 0.874

Values from the calculation:
**Energy**: -30.7 eV/f.u.
**Fermi-level density of states**: 2.17 states/eV/f.u.
**Energy of formation from the pure elements**: -55.7 kJ per mole of atoms

***

Record 3
The following is a DFT calculation (GGA-PBE) of a relaxed structure of Mg4CuPd2.

Cell lengths 4.515, 4.515, 7.586 Å; angles 72.69, 72.69, 60.00 degrees
Positions (direct):
Mg 0.383 0.383 0.852
Mg 0.871 0.871 0.386
Mg 0.617 0.617 0.148
Mg 0.129 0.129 0.614
Cu 0.000 0.000 0.000
Pd 0.743 0.743 0.770
Pd 0.257 0.257 0.230

Values from the calculation:
**Energy**: -23.9 eV/f.u.
**Fermi-level density of states**: 3.58 states/eV/f.u.
**Energy of formation from the pure elements**: -42.1 kJ per mole of atoms

***

Record 4
The following is a DFT calculation (GGA-PBE) of a relaxed structure of MgCu4Pd7.

Cell lengths 5.437, 7.294, 7.233 Å; angles 68.44, 77.20, 40.85 degrees
Positions (direct):
Pd 0.008 0.325 0.662
Pd 0.251 0.831 0.661
Pd 0.992 0.675 0.338
Pd 0.749 0.169 0.339
Pd 0.254 0.495 0.997
Pd 0.746 0.505 0.003
Pd 0.500 0.000 0.000
Cu 0.250 0.167 0.332
Cu 0.488 0.341 0.661
Cu 0.750 0.833 0.668
Cu 0.512 0.659 0.339
Mg 0.000 0.000 0.000

Values from the calculation:
**Energy**: -56.9 eV/f.u.
**Relative energy among the computed polymorphs**: 0.0 kJ/mol of atoms
**Fermi-level density of states**: 7.46 states/eV/f.u.
**Energy of formation from the pure elements**: -20.4 kJ per mole of atoms

***

Question: What is the energy in the first record?
Answer: -47.1 eV/f.u.

***

Question: Among the records above, which one has the lowest energy?
Answer: MgCu4Pd7